Computed, not measured: Nd2TmP3Rh4 after structural relaxation at the PBE level of DFT.

Geometry as extended XYZ:
```
10
Lattice="4.028 0.000 0.000 0.000 4.028 0.000 0.000 0.000 11.165" Properties=species:S:1:pos:R:3 pbc="T T T"
Nd 0.000 2.014 2.516
Nd 2.014 0.000 8.649
Tm 0.000 0.000 5.582
P 0.000 2.014 9.772
P 2.014 0.000 1.392
P 2.014 2.014 5.582
Rh 0.000 0.000 0.000
Rh 0.000 2.014 7.427
Rh 2.014 0.000 3.738
Rh 2.014 2.014 0.000
```

## Properties
* calculated density: 8.82 g cm⁻³
* final energy: -7.042 eV/atom